[1]
{
  "formula": "CdIn2Ge",
  "functional": "PBE",
  "state": "relaxed",
  "cell": [[0.0000, 3.6605, 3.6605], [3.6605, 0.0000, 3.6605], [3.6605, 3.6605, 0.0000]],
  "species": ["Cd", "In", "In", "Ge"],
  "fractional_positions": [[0.0000, 0.0000, 0.0000], [0.2500, 0.2500, 0.2500], [0.5000, 0.5000, 0.5000], [0.7500, 0.7500, 0.7500]],
  "spacegroup": "F-43m",
  "total_energy_ev_per_atom": -2.60
}


[2]
{
  "formula": "ReBiTe",
  "functional": "PBE",
  "state": "relaxed",
  "cell": [[0.0000, 3.3187, 3.3187], [3.3187, 0.0000, 3.3187], [3.3187, 3.3187, 0.0000]],
  "species": ["Re", "Bi", "Te"],
  "fractional_positions": [[0.0000, 0.0000, 0.0000], [0.7500, 0.7500, 0.7500], [0.2500, 0.2500, 0.2500]],
  "spacegroup": "F-43m",
  "magnetic_moment_mub_per_fu": 0.1,
  "total_energy_ev_per_atom": -5.92
}


[3]
{
  "formula": "DyEr2In3Cu2Ni",
  "functional": "PBE",
  "state": "relaxed",
  "cell": [[3.8759, 0.0000, 0.0000], [0.0000, 6.4277, 3.7107], [0.0000, -6.4277, 3.7107]],
  "species": ["Dy", "Er", "Er", "In", "In", "In", "Cu", "Cu", "Ni"],
  "fractional_positions": [[0.0000, 0.0000, 0.0000], [0.0000, 0.1858, 0.5928], [0.0000, 0.5928, 0.1858], [0.5000, 0.3398, 0.3398], [0.5000, 0.5921, 0.8452], [0.5000, 0.8452, 0.5921], [0.5000, 0.2603, 0.9252], [0.5000, 0.9252, 0.2603], [0.0000, 0.5911, 0.5911]],
  "spacegroup": "Amm2",
  "magnetic_moment_mub_per_fu": 0.0,
  "total_energy_ev_per_atom": -4.33
}


[4]
{
  "formula": "Cs3CuTeS9",
  "functional": "PBE",
  "state": "relaxed",
  "cell": [[10.7375, -6.6791, 0.0000], [10.7375, 6.6791, 0.0000], [0.0000, 0.0000, 12.1097]],
  "species": ["Cs", "Cs", "Cs", "Cs", "Cs", "Cs", "Cs", "Cs", "Cs", "Cs", "Cs", "Cs", "Cu", "Cu", "Cu", "Cu", "Te", "Te", "Te", "Te", "S", "S", "S", "S", "S", "S", "S", "S", "S", "S", "S", "S", "S", "S", "S", "S", "S", "S", "S", "S", "S", "S", "S", "S", "S", "S", "S", "S", "S", "S", "S", "S", "S", "S", "S", "S"],
  "fractional_positions": [[0.0377, 0.9623, 0.8341], [0.0512, 0.6447, 0.3226], [0.1447, 0.5512, 0.8226], [0.3553, 0.9488, 0.3226], [0.4488, 0.8553, 0.8226], [0.4623, 0.5377, 0.3341], [0.5377, 0.4623, 0.6659], [0.5512, 0.1447, 0.1774], [0.6447, 0.0512, 0.6774], [0.8553, 0.4488, 0.1774], [0.9488, 0.3553, 0.6774], [0.9623, 0.0377, 0.1659], [0.0679, 0.0679, 0.5000], [0.4321, 0.4321, 0.0000], [0.5679, 0.5679, 0.0000], [0.9321, 0.9321, 0.5000], [0.2317, 0.7683, 0.5763], [0.2683, 0.7317, 0.0763], [0.7317, 0.2683, 0.9237], [0.7683, 0.2317, 0.4237], [0.0630, 0.1858, 0.3539], [0.0751, 0.3364, 0.4023], [0.0761, 0.7530, 0.0456], [0.1202, 0.8798, 0.4156], [0.1636, 0.4249, 0.0977], [0.1858, 0.0630, 0.6461], [0.2000, 0.2489, 0.0826], [0.2470, 0.9239, 0.0456], [0.2489, 0.2000, 0.9174], [0.2511, 0.3000, 0.4174], [0.2530, 0.5761, 0.5456], [0.3000, 0.2511, 0.5826], [0.3142, 0.4370, 0.1461], [0.3364, 0.0751, 0.5977], [0.3798, 0.6202, 0.9156], [0.4239, 0.7470, 0.5456], [0.4249, 0.1636, 0.9023], [0.4370, 0.3142, 0.8539], [0.5630, 0.6858, 0.1461], [0.5751, 0.8364, 0.0977], [0.5761, 0.2530, 0.4544], [0.6202, 0.3798, 0.0844], [0.6636, 0.9249, 0.4023], [0.6858, 0.5630, 0.8539], [0.7000, 0.7489, 0.4174], [0.7470, 0.4239, 0.4544], [0.7489, 0.7000, 0.5826], [0.7511, 0.8000, 0.0826], [0.7530, 0.0761, 0.9544], [0.8000, 0.7511, 0.9174], [0.8142, 0.9370, 0.3539], [0.8364, 0.5751, 0.9023], [0.8798, 0.1202, 0.5844], [0.9239, 0.2470, 0.9544], [0.9249, 0.6636, 0.5977], [0.9370, 0.8142, 0.6461]],
  "spacegroup": "Cmce",
  "total_energy_ev_per_atom": -3.84
}


[5]
{
  "formula": "Na2LiHfH6",
  "functional": "PBE",
  "state": "relaxed",
  "cell": [[0.0000, 3.8511, 3.8511], [3.8511, 0.0000, 3.8511], [3.8511, 3.8511, 0.0000]],
  "species": ["Na", "Na", "Li", "Hf", "H", "H", "H", "H", "H", "H"],
  "fractional_positions": [[0.2500, 0.2500, 0.2500], [0.7500, 0.7500, 0.7500], [0.0000, 0.0000, 0.0000], [0.5000, 0.5000, 0.5000], [0.2471, 0.2471, 0.7529], [0.2471, 0.7529, 0.2471], [0.2471, 0.7529, 0.7529], [0.7529, 0.2471, 0.2471], [0.7529, 0.2471, 0.7529], [0.7529, 0.7529, 0.2471]],
  "spacegroup": "Fm-3m",
  "magnetic_moment_mub_per_fu": 0.5,
  "total_energy_ev_per_atom": -3.58
}


[6]
{
  "formula": "TbNb2As3",
  "functional": "PBE",
  "state": "relaxed",
  "cell": [[3.9825, 0.0000, 0.0000], [-1.9913, 3.4490, 0.0000], [0.0000, 0.0000, 8.9045]],
  "species": ["Tb", "Nb", "Nb", "As", "As", "As"],
  "fractional_positions": [[0.0000, 0.0000, 0.0000], [0.3333, 0.6667, 0.3661], [0.6667, 0.3333, 0.6339], [0.0000, 0.0000, 0.5000], [0.3333, 0.6667, 0.8071], [0.6667, 0.3333, 0.1929]],
  "spacegroup": "P-3m1",
  "magnetic_moment_mub_per_fu": 0.1,
  "total_energy_ev_per_atom": -7.15
}


[7]
{
  "formula": "MoOs2Pd",
  "functional": "PBE",
  "state": "relaxed",
  "cell": [[0.0000, 3.1152, 3.1152], [3.1152, 0.0000, 3.1152], [3.1152, 3.1152, 0.0000]],
  "species": ["Mo", "Os", "Os", "Pd"],
  "fractional_positions": [[0.0000, 0.0000, 0.0000], [0.2500, 0.2500, 0.2500], [0.5000, 0.5000, 0.5000], [0.7500, 0.7500, 0.7500]],
  "formation_enthalpy_0k_mev_per_atom": 491,
  "spacegroup": "F-43m",
  "magnetic_moment_mub_per_fu": 0.0,
  "total_energy_ev_per_atom": -9.13
}


[8]
{
  "formula": "Sc3TlOs2",
  "functional": "PBE",
  "state": "relaxed",
  "cell": [[3.2836, 0.0000, 0.0000], [0.0000, 3.2836, 0.0000], [0.0000, 0.0000, 10.4493]],
  "species": ["Sc", "Sc", "Sc", "Tl", "Os", "Os"],
  "fractional_positions": [[0.0000, 0.0000, 0.0000], [0.0000, 0.0000, 0.2947], [0.0000, 0.0000, 0.7053], [0.5000, 0.5000, 0.5000], [0.5000, 0.5000, 0.1550], [0.5000, 0.5000, 0.8450]],
  "spacegroup": "P4/mmm",
  "magnetic_moment_mub_per_fu": 0.0,
  "total_energy_ev_per_atom": -7.71
}


Repeat the sixth record exactly.
{
  "formula": "TbNb2As3",
  "functional": "PBE",
  "state": "relaxed",
  "cell": [[3.9825, 0.0000, 0.0000], [-1.9913, 3.4490, 0.0000], [0.0000, 0.0000, 8.9045]],
  "species": ["Tb", "Nb", "Nb", "As", "As", "As"],
  "fractional_positions": [[0.0000, 0.0000, 0.0000], [0.3333, 0.6667, 0.3661], [0.6667, 0.3333, 0.6339], [0.0000, 0.0000, 0.5000], [0.3333, 0.6667, 0.8071], [0.6667, 0.3333, 0.1929]],
  "spacegroup": "P-3m1",
  "magnetic_moment_mub_per_fu": 0.1,
  "total_energy_ev_per_atom": -7.15
}